# 1
This record from Alexandria describes AlCoMo2Cl after structural relaxation. The functional is GGA-PBEsol.

The structure in POSCAR format:
```
AlCoMo2Cl
1.0
4.661 0.000 0.000
0.000 4.661 0.000
0.000 0.000 4.104
Al Co Mo Cl
1 1 2 1
Direct
0.000 0.000 0.000
0.000 0.000 0.500
0.000 0.500 0.000
0.500 0.000 0.000
0.500 0.500 0.500
```

- symmetry = P4/mmm, No. 123
- total energy (eV per atom) = -5.696
- DOS at the Fermi energy (states/eV/cell) = 7.48
- E_form (uncorrected) (eV/atom) = 1.778

***

# 2
This record from Alexandria describes FeReIr2 after structural relaxation. The functional is GGA-PBEsol.

The structure in POSCAR format:
```
FeReIr2
1.0
2.709 0.000 0.000
0.000 2.709 0.000
0.000 0.000 7.417
Fe Re Ir
1 1 2
Direct
0.000 0.000 0.000
0.000 0.000 0.500
0.500 0.500 0.245
0.500 0.500 0.755
```

- symmetry = P4/mmm, No. 123
- total energy (eV per atom) = -10.596
- E above lowest polymorph (meV/atom) = 33
- DOS at the Fermi energy (states/eV/cell) = 3.48
- energy of formation (eV per atom) = -0.11

***

# 3
This record from Alexandria describes FeRhW2 after structural relaxation. The functional is GGA-PBEsol.

The structure in POSCAR format:
```
FeRhW2
1.0
-1.889 1.889 3.859
1.889 -1.889 3.859
1.889 1.889 -3.859
Fe Rh W
1 1 2
Direct
0.000 0.000 0.000
0.250 0.750 0.500
0.500 0.500 0.000
0.750 0.250 0.500
```

- symmetry = I-4m2, No. 119
- total energy (eV per atom) = -11.065
- E above lowest polymorph (meV/atom) = 151
- DOS at the Fermi energy (states/eV/cell) = 3.61
- energy of formation (eV per atom) = 0.11

***

# 4
This record from Alexandria describes SbPdCl2 after structural relaxation. The functional is GGA-PBEsol.

The structure in POSCAR format:
```
SbPdCl2
1.0
-3.690 3.690 2.945
3.690 -3.690 2.945
3.690 3.690 -2.945
Sb Pd Cl
2 2 4
Direct
0.000 0.000 0.000
0.750 0.250 0.500
0.250 0.750 0.500
0.500 0.500 0.000
0.164 0.625 0.039
0.375 0.414 0.539
0.586 0.125 0.961
0.875 0.836 0.461
```

- symmetry = I-42d, No. 122
- total energy (eV per atom) = -3.678
- DOS at the Fermi energy (states/eV/cell) = 3.64
- E_form (uncorrected) (eV/atom) = -0.045